SrHf3Tc after structural relaxation. Source: Alexandria, functional PBE.

Summary:
- Fermi-level density of states (states/eV/f.u.) = 8.5
- E (eV/atom) = -8.03
- space group = No. 221
- formation energy (eV/atom) = 0.356

a b c (Å): 5.129 5.129 5.129
angles (deg): 90.00 90.00 90.00
Fractional coordinates of all 5 atoms:
Sr1 0.000 0.000 0.000
Hf1 0.000 0.500 0.500
Hf2 0.500 0.000 0.500
Hf3 0.500 0.500 0.000
Tc1 0.500 0.500 0.500


NaLiPaN3 after structural relaxation. Source: Alexandria, functional PBE.

Summary:
- Fermi-level density of states (states/eV/f.u.) = 0.0
- E (eV/atom) = -6.94
- space group = No. 63

a b c (Å): 6.190 6.190 7.874
angles (deg): 90.00 90.00 147.60
Fractional coordinates of all 12 atoms:
Na1 0.000 0.000 0.000
Na2 0.000 0.000 0.500
Li1 0.499 0.501 0.750
Li2 0.501 0.499 0.250
Pa1 0.263 0.737 0.250
Pa2 0.737 0.263 0.750
N1 0.115 0.885 0.750
N2 0.349 0.651 0.651
N3 0.349 0.651 0.849
N4 0.651 0.349 0.151
N5 0.651 0.349 0.349
N6 0.885 0.115 0.250


Dy2PaS3 after structural relaxation. Source: Alexandria, functional PBE.

Summary:
- Fermi-level density of states (states/eV/f.u.) = 4.9
- E (eV/atom) = -7.02
- space group = No. 12

a b c (Å): 6.724 6.724 6.805
angles (deg): 99.50 99.50 119.98
Fractional coordinates of all 12 atoms:
Dy1 0.000 0.000 0.000
Dy2 0.164 0.836 0.500
Dy3 0.500 0.500 0.500
Dy4 0.836 0.164 0.500
Pa1 0.333 0.667 0.000
Pa2 0.667 0.333 0.000
S1 0.084 0.417 0.253
S2 0.249 0.249 0.749
S3 0.417 0.084 0.253
S4 0.583 0.916 0.747
S5 0.751 0.751 0.251
S6 0.916 0.583 0.747


LiDyHg after structural relaxation. Source: Alexandria, functional PBE.

Summary:
- Fermi-level density of states (states/eV/f.u.) = 1.4
- E (eV/atom) = -2.53
- space group = No. 107
- formation energy (eV/atom) = -0.262

a b c (Å): 5.483 5.483 5.483
angles (deg): 139.58 139.58 58.49
Fractional coordinates of all 3 atoms:
Li1 0.000 0.000 0.000
Dy1 0.315 0.315 0.000
Hg1 0.640 0.640 0.000


P2Pt after structural relaxation. Source: Alexandria, functional PBE.

Summary:
- Fermi-level density of states (states/eV/f.u.) = 0.8
- E (eV/atom) = -5.77
- space group = No. 8
- formation energy (eV/atom) = -0.147

a b c (Å): 5.654 5.654 8.383
angles (deg): 126.99 126.99 35.05
Fractional coordinates of all 6 atoms:
P1 0.000 0.000 0.000
P2 0.337 0.337 0.803
P3 0.508 0.508 0.685
P4 0.536 0.536 0.446
Pt1 0.174 0.174 0.908
Pt2 0.926 0.926 0.219


MoWSe2 after structural relaxation. Source: Alexandria, functional PBE.

Summary:
- Fermi-level density of states (states/eV/f.u.) = 1.9
- E (eV/atom) = -7.52
- space group = No. 8

a b c (Å): 4.624 4.624 5.195
angles (deg): 104.64 104.64 40.59
Fractional coordinates of all 4 atoms:
Mo1 0.000 0.000 0.000
W1 0.764 0.764 0.396
Se1 0.255 0.255 0.790
Se2 0.480 0.480 0.368


Sc2CoAs after structural relaxation. Source: Alexandria, functional PBE.

Summary:
- Fermi-level density of states (states/eV/f.u.) = 6.4
- E (eV/atom) = -6.26
- space group = No. 216
- formation energy (eV/atom) = -0.159

a b c (Å): 4.517 4.517 4.517
angles (deg): 60.00 60.00 60.00
Fractional coordinates of all 4 atoms:
Sc1 0.000 0.000 0.000
Sc2 0.250 0.250 0.250
Co1 0.750 0.750 0.750
As1 0.500 0.500 0.500


Cs2PaGeS5 after structural relaxation. Source: Alexandria, functional PBE.

Summary:
- Fermi-level density of states (states/eV/f.u.) = 3.0
- E (eV/atom) = -5.21
- space group = No. 36

a b c (Å): 10.137 10.137 14.672
angles (deg): 90.00 90.00 155.60
Fractional coordinates of all 18 atoms:
Cs1 0.120 0.880 0.500
Cs2 0.126 0.874 0.145
Cs3 0.874 0.126 0.645
Cs4 0.880 0.120 0.000
Pa1 0.198 0.802 0.843
Pa2 0.802 0.198 0.343
Ge1 0.438 0.562 0.251
Ge2 0.562 0.438 0.751
S1 0.058 0.942 0.829
S2 0.305 0.695 0.455
S3 0.317 0.683 0.221
S4 0.321 0.679 0.823
S5 0.489 0.511 0.120
S6 0.511 0.489 0.620
S7 0.679 0.321 0.323
S8 0.683 0.317 0.721
S9 0.695 0.305 0.955
S10 0.942 0.058 0.329